YTlCoHg | OQMD via LeMat-Bulk | PBE | relaxed; ΔE to the lowest computed polymorph = 0.029 eV/atom; total magnetization = 1.33 μB per formula unit; SG = F-43m
1.0
0.000 3.474 3.474
3.474 0.000 3.474
3.474 3.474 0.000
Y Tl Co Hg
1 1 1 1
Direct
0.000 0.000 0.000
0.500 0.500 0.500
0.750 0.750 0.750
0.250 0.250 0.250